Entry from Alexandria: an optimized crystal structure of Mn2Mo (GGA-PBE).

extended XYZ file:
```
12
Lattice="4.709 0.000 0.000 -2.354 4.078 0.000 0.000 0.000 7.749" Properties=species:S:1:pos:R:3 pbc="T T T"
Mn 0.000 0.000 0.000
Mn 0.000 0.000 3.874
Mn 2.354 2.672 1.937
Mn 0.000 1.405 5.811
Mn 1.217 0.703 1.937
Mn 3.492 0.703 1.937
Mn -1.137 3.375 5.811
Mn 1.137 3.375 5.811
Mo 0.000 2.719 0.508
Mo 2.354 1.359 4.382
Mo 2.354 1.359 7.241
Mo 0.000 2.719 3.367
```

Summary:
M_tot: 0.00 μB/cell
Crystal system: hexagonal
E_form: -0.065 eV per atom

Entry from Alexandria: an optimized crystal structure of MnMo4 (GGA-PBE).

extended XYZ file:
```
5
Lattice="-1.175 2.715 -3.282 -4.259 -0.677 0.965 0.090 3.420 2.797" Properties=species:S:1:pos:R:3 pbc="T T T"
Mo 0.000 0.000 0.000
Mo -0.543 3.068 -0.243
Mo -2.085 1.372 1.881
Mo -2.717 1.019 -1.159
Mn -2.672 2.729 0.240
```

Summary:
M_tot: 0.00 μB/cell
Crystal system: cubic
Excess energy over the best structure of this formula in the dataset: 0.130 eV per atom
E_form: 1.194 eV per atom